Entry 1:
Computed, not measured: an optimized crystal structure of Pm16Sm7Ho6 at the PBE level of DFT.

Computed properties:
Its crystal system is cubic. The formation energy is 226 meV/atom. Its total magnetization is 0.0 μB per formula unit. Its density of states at the Fermi level is 1.4148 states/eV/atom.

Cell lengths 15.999, 15.999, 15.999 Å; angles 90.00, 90.00, 90.00 degrees
Space group Fm-3m (No. 225)
One atom of each set of equivalent atoms:
Pm: 0.125 0.125 0.125
Pm: 0.150 0.150 0.350
Sm: 0.000 0.000 0.000
Sm: 0.000 0.250 0.250
Ho: 0.000 0.000 0.265

=====

Entry 2:
Computed, not measured: an optimized crystal structure of PmSmHo14 at the PBE level of DFT.

Computed properties:
Its crystal system is orthorhombic. The formation energy is 6 meV/atom. Its total magnetization is 0.0 μB per formula unit. Its density of states at the Fermi level is 1.2166 states/eV/atom.

Cell lengths 11.435, 7.112, 12.303 Å; angles 90.00, 90.00, 90.00 degrees
Space group Amm2 (No. 38)
One atom of each set of equivalent atoms:
Pm: 0.000 0.000 0.000
Sm: 0.000 0.000 0.500
Ho: 0.000 0.250 0.250
Ho: 0.251 0.000 0.167
Ho: 0.251 0.000 0.667
Ho: 0.253 0.250 0.417
Ho: 0.500 0.000 0.334
Ho: 0.500 0.000 0.834
Ho: 0.500 0.250 0.084

=====

Entry 3:
Computed, not measured: an optimized crystal structure of PmSm7Ho2 at the PBE level of DFT.

Computed properties:
For the excess energy over the best structure of this formula in the dataset, the calculation gives 0.00 eV per formula unit. Its crystal system is triclinic. The formation energy is 15 meV/atom. Its total magnetization is 0.0 μB per formula unit. Its density of states at the Fermi level is 1.4601 states/eV/atom.

Cell lengths 6.248, 7.211, 8.073 Å; angles 77.08, 75.02, 73.34 degrees
Space group P-1 (No. 2)
One atom of each set of equivalent atoms:
Pm: 0.000 0.000 0.000
Sm: 0.000 0.500 0.000
Sm: 0.200 0.300 0.599
Sm: 0.400 0.100 0.201
Sm: 0.401 0.600 0.201
Ho: 0.199 0.801 0.599

=====

Entry 4:
Computed, not measured: an optimized crystal structure of PmSmHo5 at the PBE level of DFT.

Computed properties:
For the excess energy over the best structure of this formula in the dataset, the calculation gives 6.37 eV per formula unit. Its crystal system is orthorhombic. The formation energy is 1104 meV/atom. Its total magnetization is 0.0 μB per formula unit. Its density of states at the Fermi level is 1.3895 states/eV/atom.

Cell lengths 5.756, 8.620, 11.817 Å; angles 90.00, 90.00, 90.00 degrees
Space group Immm (No. 71)
One atom of each set of equivalent atoms:
Pm: 0.000 0.000 0.000
Sm: 0.000 0.000 0.500
Ho: 0.000 0.000 0.254
Ho: 0.000 0.321 0.500
Ho: 0.000 0.500 0.000

=====

Entry 5:
Computed, not measured: an optimized crystal structure of Pm2Sm4Ho at the PBE level of DFT.

Computed properties:
For the excess energy over the best structure of this formula in the dataset, the calculation gives 0.00 eV per formula unit. Its crystal system is monoclinic. The formation energy is 14 meV/atom. Its total magnetization is 0.0 μB per formula unit. Its density of states at the Fermi level is 1.3023 states/eV/atom.

Cell lengths 15.804, 3.615, 8.864 Å; angles 90.00, 112.09, 90.00 degrees
Space group C2/m (No. 12)
One atom of each set of equivalent atoms:
Pm: 0.213 0.000 0.142
Sm: 0.071 0.000 0.715
Sm: 0.142 0.500 0.428
Ho: 0.000 0.500 0.000

=====

Entry 6:
Computed, not measured: an optimized crystal structure of Pm2Sm2Ho at the PBE level of DFT.

Computed properties:
For the excess energy over the best structure of this formula in the dataset, the calculation gives 0.00 eV per formula unit. Its crystal system is monoclinic. The formation energy is 70 meV/atom. Its total magnetization is 0.0 μB per formula unit. Its density of states at the Fermi level is 1.6777 states/eV/atom.

Cell lengths 16.274, 6.169, 6.874 Å; angles 90.00, 101.91, 90.00 degrees
Space group C2/c (No. 15)
One atom of each set of equivalent atoms:
Pm: 0.196 0.052 0.078
Sm: 0.096 0.421 0.646
Ho: 0.000 0.071 0.250

=====

Entry 7:
Computed, not measured: an optimized crystal structure of Pm8SmHo5 at the PBE level of DFT.

Computed properties:
Its crystal system is tetragonal. The formation energy is 245 meV/atom. Its total magnetization is 0.0 μB per formula unit. Its density of states at the Fermi level is 1.4835 states/eV/atom.

Cell lengths 9.628, 9.628, 10.315 Å; angles 90.00, 90.00, 90.00 degrees
Space group I-4 (No. 82)
One atom of each set of equivalent atoms:
Pm: 0.070 0.326 0.099
Pm: 0.088 0.178 0.753
Sm: 0.000 0.500 0.750
Ho: 0.000 0.000 0.000
Ho: 0.109 0.205 0.427

=====

Entry 8:
Computed, not measured: an optimized crystal structure of Pm5SmHo at the PBE level of DFT.

Computed properties:
For the excess energy over the best structure of this formula in the dataset, the calculation gives 0.18 eV per formula unit. Its crystal system is monoclinic. The formation energy is 906 meV/atom. Its total magnetization is 0.0 μB per formula unit. Its density of states at the Fermi level is 1.1694 states/eV/atom.

Cell lengths 11.816, 8.952, 5.910 Å; angles 90.00, 90.03, 90.00 degrees
Space group C2/m (No. 12)
One atom of each set of equivalent atoms:
Pm: 0.000 0.000 0.000
Pm: 0.000 0.316 0.500
Pm: 0.248 0.500 0.501
Sm: 0.000 0.000 0.500
Ho: 0.000 0.500 0.000

=====

Entry 9:
Computed, not measured: an optimized crystal structure of PmSm3Ho6 at the PBE level of DFT.

Computed properties:
For the excess energy over the best structure of this formula in the dataset, the calculation gives 1.40 eV per formula unit. Its crystal system is trigonal. The formation energy is 289 meV/atom. Its total magnetization is 0.0 μB per formula unit. Its density of states at the Fermi level is 2.1000 states/eV/atom.

Cell lengths 9.8887, 9.8887, 11.5979 Å; angles 90.00, 90.00, 120.00 degrees
Space group R3 (No. 146, hexagonal axes)
One atom of each set of equivalent atoms:
Pm: 0.0000 0.0000 0.0000
Sm: 0.0000 0.0000 0.2501
Sm: 0.0000 0.0000 0.5000
Sm: 0.0000 0.0000 0.7492
Ho: 0.0002 0.3282 0.0007
Ho: 0.0002 0.6724 0.5006

=====

Entry 10:
Computed, not measured: an optimized crystal structure of Pm2SmHo3 at the PBE level of DFT.

Computed properties:
For the excess energy over the best structure of this formula in the dataset, the calculation gives 0.12 eV per formula unit. Its crystal system is monoclinic. The formation energy is 121 meV/atom. Its total magnetization is 0.0 μB per formula unit. Its density of states at the Fermi level is 1.5443 states/eV/atom.

Cell lengths 23.292, 3.506, 10.286 Å; angles 90.00, 108.45, 90.00 degrees
Space group C2/m (No. 12)
One atom of each set of equivalent atoms:
Pm: 0.068 0.000 0.137
Pm: 0.191 0.500 0.372
Sm: 0.188 0.500 0.037
Ho: 0.059 0.500 0.445
Ho: 0.069 0.000 0.762
Ho: 0.195 0.500 0.715

=====

Entry 11:
Computed, not measured: an optimized crystal structure of PmSm4Ho7 at the PBE level of DFT.

Computed properties:
For the excess energy over the best structure of this formula in the dataset, the calculation gives 2.15 eV per formula unit. Its crystal system is monoclinic. The formation energy is 265 meV/atom. Its total magnetization is 0.0 μB per formula unit. Its density of states at the Fermi level is 1.6649 states/eV/atom.

Cell lengths 12.107, 5.892, 12.724 Å; angles 90.00, 118.03, 90.00 degrees
Space group C2/m (No. 12)
One atom of each set of equivalent atoms:
Pm: 0.000 0.000 0.000
Sm: 0.136 0.500 0.776
Sm: 0.235 0.000 0.674
Ho: 0.000 0.500 0.000
Ho: 0.065 0.000 0.321
Ho: 0.133 0.500 0.498
Ho: 0.211 0.000 0.923

=====

Entry 12:
Computed, not measured: an optimized crystal structure of Pm8Sm4Ho at the PBE level of DFT.

Computed properties:
Its crystal system is trigonal. The formation energy is 479 meV/atom. Its total magnetization is 0.0 μB per formula unit. Its density of states at the Fermi level is 1.5752 states/eV/atom.

Cell lengths 11.2364, 11.2364, 13.4782 Å; angles 90.00, 90.00, 120.00 degrees
Space group R-3m (No. 166, hexagonal axes)
One atom of each set of equivalent atoms:
Pm: 0.0000 0.0000 0.2380
Pm: 0.0115 0.5057 0.7425
Sm: 0.0000 0.0000 0.0000
Sm: 0.0000 0.5000 0.0000
Ho: 0.0000 0.0000 0.5000

=====

Please write out number 8 again, unchanged.
Computed, not measured: an optimized crystal structure of Pm5SmHo at the PBE level of DFT.

Computed properties:
For the excess energy over the best structure of this formula in the dataset, the calculation gives 0.18 eV per formula unit. Its crystal system is monoclinic. The formation energy is 906 meV/atom. Its total magnetization is 0.0 μB per formula unit. Its density of states at the Fermi level is 1.1694 states/eV/atom.

Cell lengths 11.816, 8.952, 5.910 Å; angles 90.00, 90.03, 90.00 degrees
Space group C2/m (No. 12)
One atom of each set of equivalent atoms:
Pm: 0.000 0.000 0.000
Pm: 0.000 0.316 0.500
Pm: 0.248 0.500 0.501
Sm: 0.000 0.000 0.500
Ho: 0.000 0.500 0.000